! Na3Ac3ZrS8, optimized geometry, DFT PBE; values from VASP
! * volume: 28.0 Å³/atom
! * formation energy from raw total energies: -26.33 eV/f.u.
&SYSTEM
  ibrav = 0, nat = 15, ntyp = 4
/
ATOMIC_SPECIES
S 32.06 S.upf
Ac 227.00 Ac.upf
Na 22.99 Na.upf
Zr 91.22 Zr.upf
CELL_PARAMETERS angstrom
8.520 0.000 0.000
-4.260 7.378 -0.026
0.000 -4.898 6.696
ATOMIC_POSITIONS crystal
S 0.748 0.496 0.745
S 0.779 0.001 0.280
S 0.221 0.442 0.720
S 0.222 0.001 0.280
S 0.779 0.558 0.280
S 0.221 0.999 0.720
S 0.778 0.999 0.720
S 0.252 0.504 0.255
Ac 0.000 0.500 0.500
Ac 0.500 0.000 0.500
Ac 0.500 0.500 0.500
Na 0.500 0.500 0.000
Na 0.000 0.500 0.000
Na 0.000 0.000 0.000
Zr 0.000 0.000 0.500